1.
NbCoReI: optimized geometry, GGA-PBE.

volume	19.00	Å³/atom
ΔE_f (raw)	184	kJ/mol of formula units
VASP energy	-7.316	eV/atom

Lattice parameters (Å, degrees): 3.289 3.289 14.053 90.00 90.00 90.00
Space group I4mm (No. 107)
Asymmetric unit:
Nb (0.000, 0.000, 0.000) (multiplicity 2)
Co (0.000, 0.000, 0.181) (multiplicity 2)
Re (0.000, 0.000, 0.614) (multiplicity 2)
I (0.000, 0.000, 0.362) (multiplicity 2)

2.
Ti2BeRuC: optimized geometry, GGA-PBE.

volume	12.20	Å³/atom
VASP energy	-7.980	eV/atom
E_form	-0.377	eV/atom

Lattice parameters (Å, degrees): 4.278 4.278 3.334 90.00 90.00 90.00
Space group P4/mmm (No. 123)
Asymmetric unit:
Ti (0.000, 0.500, 0.000) (multiplicity 2)
Be (0.000, 0.000, 0.500) (multiplicity 1)
Ru (0.500, 0.500, 0.500) (multiplicity 1)
C (0.000, 0.000, 0.000) (multiplicity 1)

3.
La4Pr6In: optimized geometry, GGA-PBE.

volume	35.88	Å³/atom
VASP energy	-4.506	eV/atom
E_form	0.142	eV/atom

Lattice parameters (Å, degrees): 6.799 6.799 17.077 90.00 90.00 90.00
Space group I-42m (No. 121)
Asymmetric unit:
La (0.178, 0.178, 0.179) (multiplicity 8)
Pr (0.000, 0.500, 0.000) (multiplicity 4)
Pr (0.164, 0.164, 0.383) (multiplicity 8)
In (0.000, 0.000, 0.000) (multiplicity 2)